Record 1
Material: La2Ti3O9
Method: DFT, SCAN
State: single point on PBEsol structure

Unit cell a=6.5240 b=6.8005 c=9.3248 alpha=98.60 beta=107.09 gamma=98.64
Last column: nearest neighbours and their distance in Å.
Fractional positions:
La (0.0000, 0.0000, 0.0000)  6 O 2.34-2.58
La (0.1791, 0.5377, 0.8806)  6 O 2.33-2.47
La (0.4043, 0.0660, 0.7837)  7 O 2.32-2.60
La (0.8159, 0.0947, 0.5870)  5 O 2.29-2.51
Ti (0.3543, 0.2460, 0.3900)  4 O 1.84-1.97
Ti (0.4942, 0.8813, 0.2041)  6 O 1.91-2.13
Ti (0.6271, 0.5695, 0.6851)  4 O 1.79-1.92
Ti (0.7065, 0.5166, 0.0443)  4 O 1.80-1.98
Ti (0.8755, 0.2575, 0.2606)  5 O 1.86-2.03
Ti (0.9925, 0.8327, 0.3591)  3 O 1.77-1.94
O (0.0500, 0.1820, 0.4324)  1 Ti 1.86
O (0.1036, 0.1840, 0.8255)  4 La 2.33-2.38
O (0.1091, 0.8602, 0.5594)  1 Ti 1.77
O (0.1369, 0.2784, 0.2059)  2 Ti 1.91-1.95
O (0.2446, 0.9108, 0.2717)  2 Ti 1.94-2.08
O (0.3331, 0.9017, 0.9912)  1 Ti 1.99
O (0.4323, 0.5132, 0.4913)  2 Ti 1.82-1.84
O (0.4767, 0.1632, 0.5724)  1 Ti 1.86
O (0.4797, 0.6045, 0.1087)  2 Ti 1.89-1.93
O (0.4967, 0.4591, 0.8235)  2 Ti 1.92-2.05
O (0.5971, 0.1943, 0.3151)  3 Ti 1.97-2.13
O (0.6821, 0.8530, 0.7468)  1 Ti 1.88
O (0.7044, 0.8315, 0.3790)  2 Ti 1.91-1.94
O (0.7147, 0.2476, 0.0234)  1 Ti 1.82
O (0.7952, 0.9608, 0.1714)  3 Ti 1.99-2.22
O (0.8617, 0.4725, 0.6681)  1 Ti 1.79
O (0.8910, 0.5502, 0.2604)  3 Ti 1.93-1.98
O (0.9105, 0.6447, 0.9758)  1 Ti 1.80

Calculated volume (Å³/atom): 13.7
SG: P1 (1)
Total magnetization (μB per formula unit): 0.0
Calculated density (g/cm³): 4.91
E above lowest polymorph (meV per atom): 118
ΔE_f (raw) (meV/atom): -3450

=====

Record 2
Material: KCrSi2
Method: DFT, SCAN
State: single point on PBEsol structure

Unit cell a=2.9960 b=3.1197 c=7.5812 alpha=90.00 beta=90.00 gamma=90.00
Last column: nearest neighbours and their distance in Å.
Fractional positions:
K (0.0000, 0.0000, 0.0000)  4 K 3.00-3.12, 8 Si 3.35
Cr (0.0000, 0.0000, 0.5000)  8 Si 2.49
Si (0.5000, 0.5000, 0.3375)  1 Si 2.46, 4 Cr 2.49
Si (0.5000, 0.5000, 0.6625)  1 Si 2.46, 4 Cr 2.49

Calculated volume (Å³/atom): 17.7
SG: Pmmm (47)
Total magnetization (μB per formula unit): 2.0
Calculated density (g/cm³): 3.45
ΔE_f (raw) (meV/atom): 142